# PBE Pm2Th3Os2, relaxed
data_Pm2Th3Os2
_cell_length_a 12.301
_cell_length_b 3.975
_cell_length_c 8.946
_cell_angle_alpha 90.00
_cell_angle_beta 115.86
_cell_angle_gamma 90.00
_space_group_name_H-M_alt 'C 1 2/m 1'
_space_group_IT_number 12
loop_
_space_group_symop_operation_xyz
'x,y,z'
'-x,-y,-z'
'-x,y,-z'
'x,-y,z'
'x+1/2,y+1/2,z'
'-x+1/2,-y+1/2,-z'
'-x+1/2,y+1/2,-z'
'x+1/2,-y+1/2,z'
loop_
_atom_site_label
_atom_site_type_symbol
_atom_site_fract_x
_atom_site_fract_y
_atom_site_fract_z
_atom_site_occupancy
Pm1 Pm 0.162 0.000 0.310 1
Th1 Th 0.000 0.500 0.500 1
Th2 Th 0.120 0.500 0.940 1
Os1 Os 0.159 0.000 0.740 1
# DFT total energy: -111.6 eV per cell
# crystal system: monoclinic



# PBE PmTh2Os, relaxed
data_PmTh2Os
_cell_length_a 3.938
_cell_length_b 11.978
_cell_length_c 9.715
_cell_angle_alpha 90.00
_cell_angle_beta 90.00
_cell_angle_gamma 90.00
_space_group_name_H-M_alt 'C m c m'
_space_group_IT_number 63
_space_group_name_Hall '-C 2c 2'
loop_
_atom_site_label
_atom_site_type_symbol
_atom_site_fract_x
_atom_site_fract_y
_atom_site_fract_z
_atom_site_occupancy
Pm1 Pm 0.000 0.077 0.250 1
Th1 Th 0.000 0.359 0.062 1
Os1 Os 0.000 0.212 0.750 1
# E above lowest polymorph: 0.06 eV per formula unit
# crystal system: orthorhombic